No. 1
# Zr8Bi3Sb2

A relaxed Zr8Bi3Sb2 crystal (PBE, the Alexandria database).

Formation energy without anion corrections (kJ per mole of atoms): -7.6
DOS at the Fermi energy (states/eV/cell): 10.99

Structure (POSCAR):
```
Zr8Bi3Sb2
1.0
-5.284 0.590 -2.832
2.107 -6.271 -5.236
-3.658 -1.296 6.876
Zr Sb Bi
8 2 3
direct
0.385 0.448 0.260 Zr
0.615 0.189 0.740 Zr
0.100 0.396 0.792 Zr
0.615 0.552 0.740 Zr
0.850 0.186 0.372 Zr
0.900 0.604 0.208 Zr
0.385 0.811 0.260 Zr
0.150 0.814 0.628 Zr
0.355 0.222 0.445 Sb
0.645 0.778 0.555 Sb
0.500 0.000 0.000 Bi
0.000 0.200 0.000 Bi
0.000 0.800 0.000 Bi
```



No. 2
# ZrBi2Sb

A relaxed ZrBi2Sb crystal (PBE, the Alexandria database).

Formation energy without anion corrections (kJ per mole of atoms): 40.6
DOS at the Fermi energy (states/eV/cell): 8.41

Structure (POSCAR):
```
ZrBi2Sb
1.0
6.842 0.000 0.000
0.000 6.842 0.000
3.421 3.421 7.048
Bi Zr Sb
4 2 2
direct
0.604 0.125 0.250 Bi
0.375 0.396 0.750 Bi
0.875 0.854 0.750 Bi
0.146 0.625 0.250 Bi
0.500 0.500 0.000 Zr
0.250 0.750 0.500 Zr
0.750 0.250 0.500 Sb
0.000 0.000 0.000 Sb
```



Please write out number 2 again, unchanged.
# ZrBi2Sb

A relaxed ZrBi2Sb crystal (PBE, the Alexandria database).

Formation energy without anion corrections (kJ per mole of atoms): 40.6
DOS at the Fermi energy (states/eV/cell): 8.41

Structure (POSCAR):
```
ZrBi2Sb
1.0
6.842 0.000 0.000
0.000 6.842 0.000
3.421 3.421 7.048
Bi Zr Sb
4 2 2
direct
0.604 0.125 0.250 Bi
0.375 0.396 0.750 Bi
0.875 0.854 0.750 Bi
0.146 0.625 0.250 Bi
0.500 0.500 0.000 Zr
0.250 0.750 0.500 Zr
0.750 0.250 0.500 Sb
0.000 0.000 0.000 Sb
```